Density functional theory data (GGA-PBE) for an optimized crystal structure of PrNd2Ge2Pd2.

* DFT total energy: -5.63 eV per atom

abc: 9.9624 9.9624 9.9624
angles: 26.14 26.14 26.14
Closest atoms and distances in Å follow each position.
Fractional positions:
Pr 0.0000 0.0000 0.0000  6 Pd 3.20, 6 Ge 3.35
Nd 0.1248 0.1248 0.1248  3 Ge 3.00, 3 Pd 3.12
Nd 0.8752 0.8752 0.8752  3 Ge 3.00, 3 Pd 3.12
Ge 0.2602 0.2602 0.2602  3 Pd 2.61
Ge 0.7398 0.7398 0.7398  3 Pd 2.61
Pd 0.3981 0.3981 0.3981  3 Ge 2.61
Pd 0.6019 0.6019 0.6019  3 Ge 2.61

Density functional theory data (GGA-PBE) for an optimized crystal structure of PrNdGePd.

* relative energy among the computed polymorphs: 0 meV/atom
* DFT total energy: -5.64 eV per atom

abc: 4.3834 5.9956 5.9956
angles: 40.48 90.00 90.00
Closest atoms and distances in Å follow each position.
Fractional positions:
Pr 0.0000 0.0000 0.0000  4 Ge 3.09, 3 Pd 3.19-3.20
Nd 0.5000 0.7237 0.7237  4 Pd 3.09, 3 Ge 3.19-3.20
Ge 0.5000 0.4398 0.4398  2 Pd 2.81, 4 Pr 3.09
Pd 0.0000 0.2836 0.2836  2 Ge 2.81, 4 Nd 3.09

Which N(E_F) belongs to each record? In order, 4.280, 1.822 states/eV/f.u..
Which E_form belongs to each record? In order, -0.777, -0.804 eV per atom.
Which mass density belongs to each record? In order, 7.74, 7.54 g cm⁻³.